No. 1
RbGeBiS3 | PBE | relaxed

Cell lengths 8.584, 3.968, 11.282 Å; angles 90.00, 109.50, 90.00 degrees
Fractional positions:
Rb  0.249  0.250  0.290
Rb  0.751  0.750  0.710
Ge  0.127  0.250  0.564
Ge  0.873  0.750  0.436
Bi  0.359  0.750  0.847
Bi  0.641  0.250  0.153
S  0.099  0.250  0.762
S  0.324  0.750  0.589
S  0.401  0.750  0.109
S  0.599  0.250  0.891
S  0.676  0.250  0.411
S  0.901  0.750  0.238

## Properties
Formation energy without anion corrections ... -3.63 eV per formula unit
SG ... No. 11

=====

No. 2
RbGeBiSe4 | PBE | relaxed

Cell lengths 6.920, 7.208, 9.557 Å; angles 90.00, 108.25, 90.00 degrees
Fractional positions:
Rb  0.239  0.250  0.439
Rb  0.761  0.750  0.561
Ge  0.277  0.750  0.170
Ge  0.723  0.250  0.830
Bi  0.271  0.250  0.957
Bi  0.729  0.750  0.043
Se  0.062  0.750  0.922
Se  0.073  0.750  0.326
Se  0.492  0.506  0.789
Se  0.492  0.994  0.789
Se  0.508  0.006  0.211
Se  0.508  0.494  0.211
Se  0.927  0.250  0.674
Se  0.938  0.250  0.078

## Properties
Formation energy without anion corrections ... -4.04 eV per formula unit
SG ... No. 11

=====

No. 3
RbGeBiSe3 | PBE | relaxed

Cell lengths 8.952, 4.109, 11.596 Å; angles 90.00, 110.36, 90.00 degrees
Fractional positions:
Rb  0.245  0.250  0.291
Rb  0.755  0.750  0.709
Ge  0.122  0.250  0.558
Ge  0.878  0.750  0.442
Bi  0.362  0.750  0.845
Bi  0.638  0.250  0.155
Se  0.102  0.250  0.767
Se  0.324  0.750  0.579
Se  0.391  0.750  0.105
Se  0.609  0.250  0.895
Se  0.676  0.250  0.421
Se  0.898  0.750  0.233

## Properties
Formation energy without anion corrections ... -3.63 eV per formula unit
SG ... No. 11

=====

No. 4
Rb2GeBiSe4 | PBE | relaxed

Cell lengths 14.423, 12.817, 8.147 Å; angles 83.78, 62.05, 34.16 degrees
Fractional positions:
Rb  0.058  0.058  0.692
Rb  0.308  0.308  0.942
Rb  0.692  0.692  0.058
Rb  0.942  0.942  0.308
Ge  0.375  0.375  0.375
Ge  0.625  0.625  0.625
Bi  0.125  0.125  0.125
Bi  0.875  0.875  0.875
Se  0.009  0.356  0.449
Se  0.315  0.551  0.644
Se  0.356  0.009  0.685
Se  0.449  0.685  0.009
Se  0.551  0.315  0.991
Se  0.644  0.991  0.315
Se  0.685  0.449  0.356
Se  0.991  0.644  0.551

## Properties
Formation energy without anion corrections ... -4.59 eV per formula unit
SG ... No. 70